Record 1
Density functional theory data (PBE) for a relaxed Zr2SbOs crystal.

```
data_Zr2SbOs
_cell_length_a 3.187
_cell_length_b 3.187
_cell_length_c 8.145
_cell_angle_alpha 90.00
_cell_angle_beta 90.00
_cell_angle_gamma 90.00
_space_group_name_H-M_alt 'P 1'
_space_group_IT_number 1
_space_group_name_Hall 'P 1'
loop_
_atom_site_label
_atom_site_type_symbol
_atom_site_fract_x
_atom_site_fract_y
_atom_site_fract_z
Zr1 Zr 0.000 0.000 0.210
Zr2 Zr 0.000 0.000 0.790
Sb1 Sb 0.500 0.500 0.500
Os1 Os 0.500 0.500 0.000
```

**E_form (uncorrected)**: -0.38 eV/atom

=====

Record 2
Density functional theory data (PBE) for a relaxed Zr2Sb2Os crystal.

```
data_Zr2Sb2Os
_cell_length_a 8.145
_cell_length_b 8.145
_cell_length_c 8.145
_cell_angle_alpha 152.36
_cell_angle_beta 152.36
_cell_angle_gamma 39.49
_space_group_name_H-M_alt 'P 1'
_space_group_IT_number 1
_space_group_name_Hall 'P 1'
loop_
_atom_site_label
_atom_site_type_symbol
_atom_site_fract_x
_atom_site_fract_y
_atom_site_fract_z
Zr1 Zr 0.096 0.096 0.000
Zr2 Zr 0.904 0.904 0.000
Sb1 Sb 0.250 0.750 0.500
Sb2 Sb 0.750 0.250 0.500
Os1 Os 0.500 0.500 0.000
```

**E_form (uncorrected)**: 0.38 eV/atom

=====

Record 3
Density functional theory data (PBE) for a relaxed ZrSbOs2 crystal.

```
data_ZrSbOs2
_cell_length_a 4.423
_cell_length_b 4.423
_cell_length_c 3.572
_cell_angle_alpha 90.00
_cell_angle_beta 90.00
_cell_angle_gamma 90.00
_space_group_name_H-M_alt 'P 1'
_space_group_IT_number 1
_space_group_name_Hall 'P 1'
loop_
_atom_site_label
_atom_site_type_symbol
_atom_site_fract_x
_atom_site_fract_y
_atom_site_fract_z
Zr1 Zr 0.000 0.000 0.000
Sb1 Sb 0.500 0.500 0.000
Os1 Os 0.000 0.500 0.500
Os2 Os 0.500 0.000 0.500
```

**E_form (uncorrected)**: -0.03 eV/atom

=====

Record 4
Density functional theory data (PBE) for a relaxed Zr2SbOs crystal.

```
data_Zr2SbOs
_cell_length_a 3.310
_cell_length_b 3.310
_cell_length_c 7.470
_cell_angle_alpha 90.00
_cell_angle_beta 90.00
_cell_angle_gamma 90.00
_space_group_name_H-M_alt 'P 1'
_space_group_IT_number 1
_space_group_name_Hall 'P 1'
loop_
_atom_site_label
_atom_site_type_symbol
_atom_site_fract_x
_atom_site_fract_y
_atom_site_fract_z
Zr1 Zr 0.000 0.000 0.000
Zr2 Zr 0.500 0.500 0.294
Sb1 Sb 0.500 0.500 0.728
Os1 Os 0.000 0.000 0.507
```

**E_form (uncorrected)**: -0.08 eV/atom

=====

Record 5
Density functional theory data (PBE) for a relaxed ZrSbOs2 crystal.

```
data_ZrSbOs2
_cell_length_a 3.276
_cell_length_b 4.451
_cell_length_c 4.865
_cell_angle_alpha 90.00
_cell_angle_beta 90.00
_cell_angle_gamma 90.00
_space_group_name_H-M_alt 'P 1'
_space_group_IT_number 1
_space_group_name_Hall 'P 1'
loop_
_atom_site_label
_atom_site_type_symbol
_atom_site_fract_x
_atom_site_fract_y
_atom_site_fract_z
Zr1 Zr 0.000 0.000 0.000
Sb1 Sb 0.500 0.000 0.500
Os1 Os 0.000 0.500 0.500
Os2 Os 0.500 0.500 0.000
```

**E_form (uncorrected)**: 0.27 eV/atom

=====

Record 6
Density functional theory data (PBE) for a relaxed ZrSbOs2 crystal.

```
data_ZrSbOs2
_cell_length_a 2.957
_cell_length_b 4.056
_cell_length_c 6.317
_cell_angle_alpha 90.00
_cell_angle_beta 103.39
_cell_angle_gamma 90.00
_space_group_name_H-M_alt 'P 1'
_space_group_IT_number 1
_space_group_name_Hall 'P 1'
loop_
_atom_site_label
_atom_site_type_symbol
_atom_site_fract_x
_atom_site_fract_y
_atom_site_fract_z
Zr1 Zr 0.000 0.000 0.000
Sb1 Sb 0.366 0.500 0.730
Os1 Os 0.212 0.000 0.432
Os2 Os 0.638 0.500 0.279
```

**E_form (uncorrected)**: 0.10 eV/atom

=====

Record 7
Density functional theory data (PBE) for a relaxed Zr2SbOs crystal.

```
data_Zr2SbOs
_cell_length_a 4.792
_cell_length_b 4.792
_cell_length_c 4.792
_cell_angle_alpha 60.00
_cell_angle_beta 60.00
_cell_angle_gamma 60.00
_space_group_name_H-M_alt 'P 1'
_space_group_IT_number 1
_space_group_name_Hall 'P 1'
loop_
_atom_site_label
_atom_site_type_symbol
_atom_site_fract_x
_atom_site_fract_y
_atom_site_fract_z
Zr1 Zr 0.000 0.000 0.000
Zr2 Zr 0.250 0.250 0.250
Sb1 Sb 0.750 0.750 0.750
Os1 Os 0.500 0.500 0.500
```

**E_form (uncorrected)**: -0.02 eV/atom

=====

Record 8
Density functional theory data (PBE) for a relaxed ZrSbOs2 crystal.

```
data_ZrSbOs2
_cell_length_a 3.228
_cell_length_b 3.489
_cell_length_c 6.295
_cell_angle_alpha 90.00
_cell_angle_beta 90.00
_cell_angle_gamma 90.00
_space_group_name_H-M_alt 'P 1'
_space_group_IT_number 1
_space_group_name_Hall 'P 1'
loop_
_atom_site_label
_atom_site_type_symbol
_atom_site_fract_x
_atom_site_fract_y
_atom_site_fract_z
Zr1 Zr 0.000 0.000 0.000
Sb1 Sb 0.000 0.000 0.500
Os1 Os 0.500 0.500 0.250
Os2 Os 0.500 0.500 0.750
```

**E_form (uncorrected)**: 0.04 eV/atom

=====

Please write out number 3 again, unchanged.
Density functional theory data (PBE) for a relaxed ZrSbOs2 crystal.

```
data_ZrSbOs2
_cell_length_a 4.423
_cell_length_b 4.423
_cell_length_c 3.572
_cell_angle_alpha 90.00
_cell_angle_beta 90.00
_cell_angle_gamma 90.00
_space_group_name_H-M_alt 'P 1'
_space_group_IT_number 1
_space_group_name_Hall 'P 1'
loop_
_atom_site_label
_atom_site_type_symbol
_atom_site_fract_x
_atom_site_fract_y
_atom_site_fract_z
Zr1 Zr 0.000 0.000 0.000
Sb1 Sb 0.500 0.500 0.000
Os1 Os 0.000 0.500 0.500
Os2 Os 0.500 0.000 0.500
```

**E_form (uncorrected)**: -0.03 eV/atom